No. 1
The following is a DFT calculation (PBE) of a relaxed structure of Ac3Ge2AsAu6.

The structure in POSCAR format:
```
Ac3Ge2AsAu6
1.0
6.605 0.000 0.000
-3.303 5.720 0.000
0.000 0.000 8.322
Ac Ge As Au
3 2 1 6
direct
0.000 0.000 0.000
0.333 0.667 0.659
0.667 0.333 0.341
0.333 0.667 0.063
0.667 0.333 0.937
0.000 0.000 0.500
0.179 0.358 0.291
0.179 0.821 0.291
0.358 0.179 0.709
0.642 0.821 0.291
0.821 0.179 0.709
0.821 0.642 0.709
```

## Properties
As for the symmetry: P-3m1, No. 164. For the density of states at the Fermi level, the calculation gives 5.81 states/eV per cell. Its formation energy is -5.91 eV per formula unit.

***

No. 2
The following is a DFT calculation (PBE) of a relaxed structure of Ac2Ge3AsAu4.

The structure in POSCAR format:
```
Ac2Ge3AsAu4
1.0
4.637 0.000 0.000
0.000 4.637 0.000
0.000 0.000 10.550
Ac Ge As Au
2 3 1 4
direct
0.000 0.500 0.249
0.500 0.000 0.751
0.000 0.500 0.871
0.500 0.000 0.129
0.500 0.500 0.500
0.000 0.000 0.500
0.000 0.000 0.000
0.000 0.500 0.630
0.500 0.000 0.370
0.500 0.500 0.000
```

## Properties
As for the symmetry: P-4m2, No. 115. For the density of states at the Fermi level, the calculation gives 4.23 states/eV per cell. Its formation energy is -6.10 eV per formula unit.

***

No. 3
The following is a DFT calculation (PBE) of a relaxed structure of AcHfAs3Au.

The structure in POSCAR format:
```
AcHfAs3Au
1.0
7.994 0.000 0.000
0.000 4.061 0.000
-2.655 0.000 8.964
Ac Hf As Au
2 2 6 2
direct
0.215 0.250 0.252
0.785 0.750 0.748
0.318 0.750 0.841
0.682 0.250 0.159
0.100 0.250 0.871
0.298 0.750 0.543
0.446 0.750 0.145
0.554 0.250 0.855
0.702 0.250 0.457
0.900 0.750 0.129
0.113 0.250 0.588
0.887 0.750 0.412
```

## Properties
As for the symmetry: P2_1/m, No. 11. For the density of states at the Fermi level, the calculation gives 4.08 states/eV per cell. Its formation energy is -4.97 eV per formula unit.

***

No. 4
The following is a DFT calculation (PBE) of a relaxed structure of Ac4AsAuI2.

The structure in POSCAR format:
```
Ac4AsAuI2
1.0
8.175 0.000 0.000
0.000 4.498 0.000
-2.531 0.000 8.102
Ac As Au I
4 1 1 2
direct
0.228 0.000 0.203
0.269 0.500 0.794
0.731 0.500 0.206
0.772 0.000 0.797
0.500 0.000 0.000
0.000 0.500 0.000
0.000 0.000 0.500
0.500 0.500 0.500
```

## Properties
As for the symmetry: P2/m, No. 10. Its uncorrected formation energy is -1.083 eV/atom. For the density of states at the Fermi level, the calculation gives 4.97 states/eV per cell.

***

No. 5
The following is a DFT calculation (PBE) of a relaxed structure of KAcAs2Au2.

The structure in POSCAR format:
```
KAcAs2Au2
1.0
4.556 0.000 0.000
-2.278 3.945 0.000
0.000 0.000 9.127
K Ac As Au
1 1 2 2
direct
0.000 0.000 0.000
0.000 0.000 0.500
0.333 0.667 0.721
0.667 0.333 0.279
0.333 0.667 0.268
0.667 0.333 0.732
```

## Properties
As for the symmetry: P-3m1, No. 164. For the density of states at the Fermi level, the calculation gives 0.14 states/eV per cell. Its formation energy is -4.75 eV per formula unit.

***

No. 6
The following is a DFT calculation (PBE) of a relaxed structure of LiAcAs2Au.

The structure in POSCAR format:
```
LiAcAs2Au
1.0
-2.134 2.134 6.034
2.134 -2.134 6.034
2.134 2.134 -6.034
Li Ac As Au
1 1 2 1
direct
0.000 0.000 0.000
0.250 0.750 0.500
0.632 0.132 0.500
0.868 0.368 0.500
0.500 0.500 0.000
```

## Properties
As for the symmetry: I-4m2, No. 119. For the density of states at the Fermi level, the calculation gives 1.95 states/eV per cell. Its formation energy is -4.12 eV per formula unit.

***

No. 7
The following is a DFT calculation (PBE) of a relaxed structure of LiAcAsAu.

The structure in POSCAR format:
```
LiAcAsAu
1.0
0.000 3.678 3.678
3.678 0.000 3.678
3.678 3.678 0.000
Li Ac As Au
1 1 1 1
direct
0.000 0.000 0.000
0.500 0.500 0.500
0.750 0.750 0.750
0.250 0.250 0.250
```

## Properties
As for the symmetry: F-43m, No. 216. Its formation energy is -3.30 eV per formula unit.

***

No. 8
The following is a DFT calculation (PBE) of a relaxed structure of AcMgAsAu.

The structure in POSCAR format:
```
AcMgAsAu
1.0
0.000 3.697 3.697
3.697 0.000 3.697
3.697 3.697 0.000
Ac Mg As Au
1 1 1 1
direct
0.000 0.000 0.000
0.500 0.500 0.500
0.250 0.250 0.250
0.750 0.750 0.750
```

## Properties
As for the symmetry: F-43m, No. 216. For the density of states at the Fermi level, the calculation gives 3.13 states/eV per cell. Its formation energy is -2.79 eV per formula unit.